PuSbPdN: relaxed, PBE.

a b c (Å): 3.291 3.291 14.034
angles (deg): 90.00 90.00 90.00
Space group I4mm (No. 107)
Unique sites:
Pu (0.000, 0.000, 0.000) [2 per cell]
Sb (0.000, 0.000, 0.283) [2 per cell]
Pd (0.000, 0.000, 0.677) [2 per cell]
N (0.000, 0.000, 0.522) [2 per cell]

Results
As for the total energy: -8.58 eV/atom.

PuSb2PdN: relaxed, PBE.

a b c (Å): 3.802 3.802 15.157
angles (deg): 90.00 90.00 90.00
Space group P4/nmm (No. 129, origin choice 2)
Unique sites:
Pu (0.250, 0.250, 0.075) [2 per cell]
Sb (0.250, 0.250, 0.428) [2 per cell]
Sb (0.250, 0.250, 0.788) [2 per cell]
Pd (0.250, 0.250, 0.611) [2 per cell]
N (0.250, 0.750, 0.000) [2 per cell]

Results
As for the total energy: -7.85 eV/atom.

SrPu2PdN4: relaxed, PBE.

a b c (Å): 3.552 11.511 11.949
angles (deg): 90.00 90.00 90.00
Space group Cmcm (No. 63)
Unique sites:
Sr (0.000, 0.090, 0.250) [4 per cell]
Pu (0.000, 0.369, 0.058) [8 per cell]
Pd (0.000, 0.184, 0.750) [4 per cell]
N (0.000, 0.000, 0.000) [4 per cell]
N (0.000, 0.255, 0.588) [8 per cell]
N (0.000, 0.427, 0.250) [4 per cell]

Results
As for the total energy: -9.39 eV/atom.